(1)
The following is a GGA-PBE calculation of a relaxed YHfTiIr2 crystal, from Alexandria via LeMat-Bulk.

The structure belongs to space group I-4m2 (No. 119); the cell edges are 4.3441, 4.3441 and 10.9589 Å and the angles 90.00°, 90.00° and 90.00°. Symmetry generates all atoms from Y at (0.0000, 0.0000, 0.0000), Hf at (0.0000, 0.5000, 0.2500), Ti at (0.0000, 0.5000, 0.7500) and Ir at (0.0000, 0.0000, 0.3826).

The energy comes out at -9.21 eV/atom. The energy relative to the elements comes out at -0.804 eV/atom.

---

(2)
The following is a GGA-PBE calculation of a relaxed HfTi3Cu crystal, from Alexandria via LeMat-Bulk.

The structure belongs to space group Cmcm (No. 63); the cell edges are 5.6216, 12.2060 and 5.1270 Å and the angles 90.00°, 90.00° and 90.00°. Symmetry generates all atoms from Hf at (0.0000, 0.0936, 0.2500), Ti at (0.0000, 0.3211, 0.7500), Ti at (0.2395, 0.3463, 0.2500) and Cu at (0.0000, 0.5000, 0.0000).

As for the energy above the most stable polymorph in this dataset: 0.0000 eV/atom. The energy comes out at -7.37 eV/atom. The energy relative to the elements comes out at 0.176 eV/atom.

---

(3)
The following is a GGA-PBE calculation of a relaxed EuMgSc crystal, from Alexandria via LeMat-Bulk.

The structure belongs to space group I4mm (No. 107); the cell edges are 3.6667, 3.6667 and 12.8971 Å and the angles 90.00°, 90.00° and 90.00°. Symmetry generates all atoms from Eu at (0.0000, 0.0000, 0.0000), Mg at (0.0000, 0.0000, 0.6780) and Sc at (0.0000, 0.0000, 0.3090).

As for the energy above the most stable polymorph in this dataset: 0.0000 eV/atom. The energy comes out at -6.01 eV/atom. The energy relative to the elements comes out at 0.059 eV/atom.

---

(4)
The following is a GGA-PBE calculation of a relaxed YInAu crystal, from Alexandria via LeMat-Bulk.

The structure belongs to space group P3m1 (No. 156); the cell edges are 3.9671, 3.9671 and 5.8689 Å and the angles 90.00°, 90.00° and 120.00°. Symmetry generates all atoms from Y at (0.0000, 0.0000, 0.0000), In at (0.3333, 0.6667, 0.5973) and Au at (0.6667, 0.3333, 0.3075).

The energy comes out at -4.61 eV/atom. The energy relative to the elements comes out at -0.452 eV/atom.

---

(5)
The following is a GGA-PBE calculation of a relaxed PmTh2Mn crystal, from Alexandria via LeMat-Bulk.

The structure belongs to space group P4/mmm (No. 123); the cell edges are 3.5843, 3.5843 and 8.6866 Å and the angles 90.00°, 90.00° and 90.00°. Symmetry generates all atoms from Pm at (0.0000, 0.0000, 0.0000), Th at (0.5000, 0.5000, 0.2969) and Mn at (0.0000, 0.0000, 0.5000).

As for the energy above the most stable polymorph in this dataset: 0.0000 eV/atom. The energy comes out at -7.03 eV/atom. The energy relative to the elements comes out at 0.164 eV/atom.

---

(6)
The following is a GGA-PBE calculation of a relaxed Fe2CuPd9 crystal, from Alexandria via LeMat-Bulk.

The structure belongs to space group P4/mmm (No. 123); the cell edges are 3.9021, 3.9021 and 11.6285 Å and the angles 90.00°, 90.00° and 90.00°. Symmetry generates all atoms from Fe at (0.0000, 0.0000, 0.1707), Cu at (0.0000, 0.0000, 0.5000), Pd at (0.0000, 0.5000, 0.0000), Pd at (0.0000, 0.5000, 0.3315), Pd at (0.5000, 0.5000, 0.1655) and Pd at (0.5000, 0.5000, 0.5000).

The energy comes out at -5.73 eV/atom. The energy relative to the elements comes out at -0.083 eV/atom.

---

(7)
The following is a GGA-PBE calculation of a relaxed Ag2Sn2Hg crystal, from Alexandria via LeMat-Bulk.

The structure belongs to space group I4/mmm (No. 139); the cell edges are 4.3179, 4.3179 and 13.5788 Å and the angles 90.00°, 90.00° and 90.00°. Symmetry generates all atoms from Ag at (0.0000, 0.0000, 0.1001), Sn at (0.0000, 0.5000, 0.2500) and Hg at (0.0000, 0.0000, 0.5000).

As for the energy above the most stable polymorph in this dataset: 0.1212 eV/atom. The energy comes out at -2.62 eV/atom. The energy relative to the elements comes out at 0.186 eV/atom.

---

(8)
The following is a GGA-PBE calculation of a relaxed BaB4H12 crystal, from Alexandria via LeMat-Bulk.

The structure belongs to space group Im-3m (No. 229); the cell edges are 6.3922, 6.3922 and 6.3922 Å and the angles 90.00°, 90.00° and 90.00°. Symmetry generates all atoms from Ba at (0.0000, 0.0000, 0.0000), B at (0.2500, 0.2500, 0.2500) and H at (0.0000, 0.2626, 0.2626).

The energy comes out at -3.52 eV/atom.